VASP calculation (GGA-PBE) on crystalline AlGa2Ni5 at its relaxed geometry.

- electronic total energy (eV/atom) = -5.1468

abc: 5.041 5.041 3.755
angles: 90.00 90.00 96.23
Sites, in units of the cell vectors:
1 Al 0.000 0.000 0.000
2 Ga 0.720 0.280 0.500
3 Ga 0.280 0.720 0.500
4 Ni 0.500 0.000 0.000
5 Ni 0.000 0.500 0.000
6 Ni 0.500 0.500 0.000
7 Ni 0.223 0.223 0.500
8 Ni 0.777 0.777 0.500